# 1
A geometry-optimized HoUPb structure. Source: the Alexandria database, functional GGA-PBE.

Computed properties:
* E: -6.629 eV per atom

a b c (Å): 16.9738 3.8175 4.9596
angles (deg): 90.00 93.60 90.00
Space group C2/m (No. 12)
One atom of each set of equivalent atoms:
Ho1 0.0732 0.0000 0.2583 (multiplicity 4)
U1 0.2400 0.5000 0.3306 (multiplicity 4)
Pb1 0.1025 0.5000 0.7690 (multiplicity 4)


# 2
A geometry-optimized Y12Ho7Pb structure. Source: the Alexandria database, functional GGA-PBE.

Computed properties:
* E: -5.506 eV per atom

a b c (Å): 12.0489 12.0489 15.4968
angles (deg): 90.00 90.00 120.00
Space group R-3 (No. 148, hexagonal axes)
One atom of each set of equivalent atoms:
Y1 0.0316 0.5785 0.2106 (multiplicity 18)
Y2 0.0573 0.4722 0.5862 (multiplicity 18)
Ho1 0.0000 0.0000 0.0000 (multiplicity 3)
Ho2 0.0539 0.8664 0.3002 (multiplicity 18)
Pb1 0.0000 0.0000 0.5000 (multiplicity 3)


# 3
A geometry-optimized Y2HoPb2 structure. Source: the Alexandria database, functional GGA-PBE.

Computed properties:
* E: -5.448 eV per atom

a b c (Å): 5.0014 18.3357 6.5527
angles (deg): 90.00 90.00 90.00
Space group Cmc2_1 (No. 36)
One atom of each set of equivalent atoms:
Y1 0.0000 0.0001 0.0000 (multiplicity 4)
Y2 0.0000 0.1893 0.2505 (multiplicity 4)
Ho1 0.0000 0.3942 0.2497 (multiplicity 4)
Pb1 0.0000 0.1968 0.7505 (multiplicity 4)
Pb2 0.0000 0.4247 0.7498 (multiplicity 4)


no.,DOS(E_F) (states/eV/f.u.)
1,5.40
2,38.19
3,3.37